## Dy3ErCd6 (PBE)

Data for Dy3ErCd6 after structural relaxation.

The structure belongs to space group P2_1/m (No. 11); the cell edges are 9.170, 5.140 and 11.008 Å and the angles 90.00°, 105.39° and 90.00°. The inequivalent atoms are Dy at (0.029, 0.250, 0.393), Dy at (0.150, 0.750, 0.209), Dy at (0.260, 0.250, 0.002), Er at (0.446, 0.250, 0.605), Cd at (0.050, 0.750, 0.906), Cd at (0.161, 0.250, 0.706), Cd at (0.261, 0.750, 0.506), Cd at (0.353, 0.250, 0.306), Cd at (0.356, 0.750, 0.808) and Cd at (0.449, 0.750, 0.104).

The density of states at the Fermi level is 0.73 states/eV per atom. As for the formation energy: -286 meV per atom. As for the volume: 500 Å³ per cell.